[1]
VASP calculation (SCAN) on a PBEsol-optimized structure of KCaTi3.

Calculated values
For the formation energy, the calculation gives 1.833 eV per atom. For the density of states at the Fermi level, the calculation gives 6.47 states/eV per cell. The value obtained for the total energy is -11.383 eV per atom.

abc: 5.083 5.083 5.083
angles: 90.00 90.00 90.00
Fractional coordinates of all 5 atoms:
1 K 0.000 0.000 0.000
2 Ca 0.500 0.500 0.500
3 Ti 0.000 0.500 0.500
4 Ti 0.500 0.000 0.500
5 Ti 0.500 0.500 0.000

[2]
VASP calculation (SCAN) on a PBEsol-optimized structure of GdMgHg2.

Calculated values
For the formation energy, the calculation gives -0.612 eV per atom. For the density of states at the Fermi level, the calculation gives 1.40 states/eV per cell. The value obtained for the total energy is -50.643 eV per atom.

abc: 5.028 5.028 5.028
angles: 60.00 60.00 60.00
Fractional coordinates of all 4 atoms:
1 Gd 0.000 0.000 0.000
2 Mg 0.500 0.500 0.500
3 Hg 0.250 0.250 0.250
4 Hg 0.750 0.750 0.750

[3]
VASP calculation (SCAN) on a PBEsol-optimized structure of YOsBr.

Calculated values
For the density of states at the Fermi level, the calculation gives 2.95 states/eV per cell. The value obtained for the total energy is -39.584 eV per atom. The excess energy over the best structure of this formula in the dataset is 11.2 kJ/mol of atoms. The calculation puts the formation energy (no corrections) at 143 meV/atom.

abc: 6.269 6.269 6.269
angles: 150.15 150.15 42.72
Fractional coordinates of all 3 atoms:
1 Y 0.000 0.000 0.000
2 Os 0.352 0.352 0.000
3 Br 0.678 0.678 0.000

[4]
VASP calculation (SCAN) on a PBEsol-optimized structure of HfGa3I.

Calculated values
For the density of states at the Fermi level, the calculation gives 4.05 states/eV per cell. The value obtained for the total energy is -28.242 eV per atom. The calculation puts the formation energy (no corrections) at 1449 meV/atom.

abc: 5.259 5.259 5.259
angles: 90.00 90.00 90.00
Fractional coordinates of all 5 atoms:
1 Hf 0.000 0.000 0.000
2 Ga 0.000 0.500 0.500
3 Ga 0.500 0.000 0.500
4 Ga 0.500 0.500 0.000
5 I 0.500 0.500 0.500

[5]
VASP calculation (SCAN) on a PBEsol-optimized structure of SbMo2Br.

Calculated values
For the density of states at the Fermi level, the calculation gives 3.69 states/eV per cell. The value obtained for the total energy is -30.700 eV per atom. The excess energy over the best structure of this formula in the dataset is 13.6 kJ/mol of atoms. The calculation puts the formation energy (no corrections) at 922 meV/atom.

abc: 3.119 3.119 8.648
angles: 90.00 90.00 119.17
Fractional coordinates of all 4 atoms:
1 Sb 0.000 0.000 0.000
2 Mo 0.500 0.500 0.250
3 Mo 0.500 0.500 0.750
4 Br 0.000 0.000 0.500

[6]
VASP calculation (SCAN) on a PBEsol-optimized structure of BaSc2Cl.

Calculated values
For the density of states at the Fermi level, the calculation gives 4.03 states/eV per cell. The value obtained for the total energy is -19.047 eV per atom. The excess energy over the best structure of this formula in the dataset is 47.1 kJ/mol of atoms. The calculation puts the formation energy (no corrections) at -47 meV/atom.

abc: 6.672 6.672 3.432
angles: 90.00 90.00 127.05
Fractional coordinates of all 4 atoms:
1 Ba 0.000 0.000 0.000
2 Sc 0.000 0.500 0.500
3 Sc 0.500 0.000 0.500
4 Cl 0.500 0.500 0.000